(1)
First-principles (PBE) data for crystalline Ca7Ga2Au2 at its relaxed geometry, as listed in the Alexandria database.

Summary:
calculated total energy: -2.791 eV per atom
SG: Cmmm, No. 65
calculated volume: 31.4 Å³/atom

Cell: 7.0055 7.0055 7.4962 Å, 90.00 90.00 110.23°
Last column: nearest neighbours and their distance in Å.
Atoms (fractional coordinates):
Ca1 0.0000 0.0000 0.0000  2 Au 3.41
Ca2 0.0000 0.5000 0.2733  2 Au 2.92
Ca3 0.0000 0.5000 0.7267  2 Au 2.92
Ca4 0.5000 0.0000 0.2733  2 Au 2.92
Ca5 0.5000 0.0000 0.7267  2 Au 2.92
Ca6 0.5000 0.5000 0.2589  2 Au 3.03, 2 Ga 3.27
Ca7 0.5000 0.5000 0.7411  2 Au 3.03, 2 Ga 3.27
Ga1 0.1603 0.1603 0.5000  1 Ga 2.57
Ga2 0.8397 0.8397 0.5000  1 Ga 2.57
Au1 0.2971 0.7029 0.0000  6 Ca 2.92-3.03
Au2 0.7029 0.2971 0.0000  6 Ca 2.92-3.03



(2)
First-principles (PBE) data for crystalline Ca2Ga4Au3 at its relaxed geometry, as listed in the Alexandria database.

Summary:
calculated total energy: -3.391 eV per atom
SG: Cmce, No. 64
calculated volume: 20.4 Å³/atom

Cell: 8.4173 8.4173 7.9335 Å, 90.00 90.00 139.33°
Last column: nearest neighbours and their distance in Å.
Atoms (fractional coordinates):
Ca1 0.1060 0.8940 0.9051  8 Ga 3.17-3.53, 4 Au 3.18-3.45
Ca2 0.3940 0.6060 0.4051  8 Ga 3.17-3.53, 4 Au 3.18-3.45
Ca3 0.6060 0.3940 0.5949  8 Ga 3.17-3.53, 4 Au 3.18-3.45
Ca4 0.8940 0.1060 0.0949  8 Ga 3.17-3.53, 4 Au 3.18-3.45
Ga1 0.1779 0.8221 0.5168  5 Au 2.72-2.81
Ga2 0.1851 0.3149 0.7500  3 Au 2.65-2.67, 2 Ga 2.93
Ga3 0.3149 0.1851 0.2500  3 Au 2.65-2.67, 2 Ga 2.93
Ga4 0.3221 0.6779 0.0168  5 Au 2.72-2.81
Ga5 0.6779 0.3221 0.9832  5 Au 2.72-2.81
Ga6 0.6851 0.8149 0.7500  3 Au 2.65-2.67, 2 Ga 2.93
Ga7 0.8149 0.6851 0.2500  3 Au 2.65-2.67, 2 Ga 2.93
Ga8 0.8221 0.1779 0.4832  5 Au 2.72-2.81
Au1 0.0000 0.0000 0.5000  6 Ga 2.67-2.81
Au2 0.0172 0.4828 0.7500  5 Ga 2.65-2.75, 2 Au 2.93
Au3 0.4828 0.0172 0.2500  5 Ga 2.65-2.75, 2 Au 2.93
Au4 0.5000 0.5000 0.0000  6 Ga 2.67-2.81
Au5 0.5172 0.9828 0.7500  5 Ga 2.65-2.75, 2 Au 2.93
Au6 0.9828 0.5172 0.2500  5 Ga 2.65-2.75, 2 Au 2.93



(3)
First-principles (PBE) data for crystalline CaGaAu3 at its relaxed geometry, as listed in the Alexandria database.

Summary:
calculated total energy: -3.550 eV per atom
SG: Pa-3, No. 205
calculated volume: 19.9 Å³/atom

Cell: 9.2731 9.2731 9.2731 Å, 90.00 90.00 90.00°
Last column: nearest neighbours and their distance in Å.
Atoms (fractional coordinates):
Ca1 0.1090 0.1090 0.1090  12 Au 3.13-3.47, 3 Ga 3.30, 1 Ca 3.50
Ca2 0.1090 0.3910 0.6090  12 Au 3.13-3.47, 3 Ga 3.30, 1 Ca 3.50
Ca3 0.3910 0.6090 0.1090  12 Au 3.13-3.47, 3 Ga 3.30, 1 Ca 3.50
Ca4 0.3910 0.8910 0.6090  12 Au 3.13-3.47, 3 Ga 3.30, 1 Ca 3.50
Ca5 0.6090 0.1090 0.3910  12 Au 3.13-3.47, 3 Ga 3.30, 1 Ca 3.50
Ca6 0.6090 0.3910 0.8910  12 Au 3.13-3.47, 3 Ga 3.30, 1 Ca 3.50
Ca7 0.8910 0.6090 0.3910  12 Au 3.13-3.47, 3 Ga 3.30, 1 Ca 3.50
Ca8 0.8910 0.8910 0.8910  12 Au 3.13-3.47, 3 Ga 3.30, 1 Ca 3.50
Ga1 0.1097 0.6097 0.8903  6 Au 2.61-2.75
Ga2 0.1097 0.8903 0.3903  6 Au 2.61-2.75
Ga3 0.3903 0.1097 0.8903  6 Au 2.61-2.75
Ga4 0.3903 0.3903 0.3903  6 Au 2.61-2.75
Ga5 0.6097 0.6097 0.6097  6 Au 2.61-2.75
Ga6 0.6097 0.8903 0.1097  6 Au 2.61-2.75
Ga7 0.8903 0.1097 0.6097  6 Au 2.61-2.75
Ga8 0.8903 0.3903 0.1097  6 Au 2.61-2.75
Au1 0.0744 0.7377 0.1379  2 Ga 2.61-2.75, 2 Au 2.87
Au2 0.0744 0.7623 0.6379  2 Ga 2.61-2.75, 2 Au 2.87
Au3 0.1379 0.0744 0.7377  2 Ga 2.61-2.75, 2 Au 2.87
Au4 0.1379 0.4256 0.2377  2 Ga 2.61-2.75, 2 Au 2.87
Au5 0.2377 0.1379 0.4256  2 Ga 2.61-2.75, 2 Au 2.87
Au6 0.2377 0.3621 0.9256  2 Ga 2.61-2.75, 2 Au 2.87
Au7 0.2623 0.6379 0.4256  2 Ga 2.61-2.75, 2 Au 2.87
Au8 0.2623 0.8621 0.9256  2 Ga 2.61-2.75, 2 Au 2.87
Au9 0.3621 0.5744 0.7377  2 Ga 2.61-2.75, 2 Au 2.87
Au10 0.3621 0.9256 0.2377  2 Ga 2.61-2.75, 2 Au 2.87
Au11 0.4256 0.2377 0.1379  2 Ga 2.61-2.75, 2 Au 2.87
Au12 0.4256 0.2623 0.6379  2 Ga 2.61-2.75, 2 Au 2.87
Au13 0.5744 0.7377 0.3621  2 Ga 2.61-2.75, 2 Au 2.87
Au14 0.5744 0.7623 0.8621  2 Ga 2.61-2.75, 2 Au 2.87
Au15 0.6379 0.0744 0.7623  2 Ga 2.61-2.75, 2 Au 2.87
Au16 0.6379 0.4256 0.2623  2 Ga 2.61-2.75, 2 Au 2.87
Au17 0.7377 0.1379 0.0744  2 Ga 2.61-2.75, 2 Au 2.87
Au18 0.7377 0.3621 0.5744  2 Ga 2.61-2.75, 2 Au 2.87
Au19 0.7623 0.6379 0.0744  2 Ga 2.61-2.75, 2 Au 2.87
Au20 0.7623 0.8621 0.5744  2 Ga 2.61-2.75, 2 Au 2.87
Au21 0.8621 0.5744 0.7623  2 Ga 2.61-2.75, 2 Au 2.87
Au22 0.8621 0.9256 0.2623  2 Ga 2.61-2.75, 2 Au 2.87
Au23 0.9256 0.2377 0.3621  2 Ga 2.61-2.75, 2 Au 2.87
Au24 0.9256 0.2623 0.8621  2 Ga 2.61-2.75, 2 Au 2.87